No. 1
MgCrCo2: optimized geometry, PBE-GGA.

Results
As for the crystal system: tetragonal. Its energy of formation is 0.31 eV per atom.

Cell lengths 4.700, 4.700, 4.700 Å; angles 135.38, 135.38, 64.94 degrees
Element x y z (fractional)
Co (0.250, 0.750, 0.500)
Co (0.000, 0.000, 0.000)
Cr (0.500, 0.500, 0.000)
Mg (0.750, 0.250, 0.500)

***

No. 2
PrMg2ReN4: optimized geometry, PBE-GGA.

Results
As for the crystal system: orthorhombic.

Cell lengths 3.336, 6.132, 10.986 Å; angles 90.00, 90.00, 105.78 degrees
Element x y z (fractional)
N (0.723, 0.445, 0.616)
N (0.723, 0.445, 0.884)
N (0.000, 0.000, 0.500)
N (0.000, 0.000, 0.000)
N (0.277, 0.555, 0.116)
N (0.277, 0.555, 0.384)
N (0.591, 0.182, 0.250)
N (0.409, 0.818, 0.750)
Mg (0.388, 0.776, 0.970)
Mg (0.612, 0.224, 0.470)
Mg (0.612, 0.224, 0.030)
Mg (0.388, 0.776, 0.530)
Pr (0.929, 0.858, 0.250)
Pr (0.071, 0.142, 0.750)
Re (0.188, 0.377, 0.250)
Re (0.812, 0.623, 0.750)

***

No. 3
TbPm6Er: optimized geometry, PBE-GGA.

Results
As for the crystal system: tetragonal. Its energy of formation is 0.02 eV per atom.

Cell lengths 5.119, 5.119, 10.236 Å; angles 90.00, 90.00, 90.00 degrees
Element x y z (fractional)
Pm (0.500, 0.000, 0.251)
Pm (0.500, 0.000, 0.749)
Pm (0.000, 0.500, 0.251)
Pm (0.500, 0.500, 0.500)
Pm (0.500, 0.500, 0.000)
Pm (0.000, 0.500, 0.749)
Tb (0.000, 0.000, 0.000)
Er (0.000, 0.000, 0.500)

***

No. 4
LaReP2O: optimized geometry, PBE-GGA.

Results
As for the crystal system: tetragonal.

Cell lengths 5.551, 5.551, 4.131 Å; angles 90.00, 90.00, 90.00 degrees
Element x y z (fractional)
P (0.500, 0.000, 0.000)
P (0.000, 0.500, 0.000)
O (0.000, 0.000, 0.500)
Re (0.500, 0.500, 0.500)
La (0.000, 0.000, 0.000)

***

No. 5
DyYTm: optimized geometry, PBE-GGA.

Results
The excess energy over the best structure of this formula in the dataset is 0.003 eV per atom. As for the crystal system: trigonal. Its energy of formation is 0.03 eV per atom.

Cell lengths 3.537, 3.537, 8.640 Å; angles 90.00, 90.00, 120.00 degrees
Element x y z (fractional)
Tm (0.667, 0.333, 0.334)
Dy (0.333, 0.667, 0.664)
Y (0.000, 0.000, 0.002)

***

No. 6
In8GaHg4: optimized geometry, PBE-GGA.

Results
As for the crystal system: triclinic. Its energy of formation is 0.03 eV per atom.

Cell lengths 12.426, 12.502, 8.851 Å; angles 62.71, 156.07, 132.07 degrees
Element x y z (fractional)
In (0.815, 0.665, 0.974)
In (0.185, 0.335, 0.026)
In (0.472, 0.726, 0.195)
In (0.229, 0.844, 0.077)
In (0.771, 0.156, 0.923)
In (0.528, 0.274, 0.805)
In (0.684, 0.842, 0.019)
In (0.316, 0.158, 0.981)
Hg (0.000, 0.000, 0.000)
Hg (0.500, 0.500, 0.000)
Hg (0.500, 0.000, 0.000)
Hg (0.000, 0.500, 0.000)
Ga (0.000, 0.500, 0.500)

***

Let's list final energy in order: -6.0447; -7.2849; -4.6956; -5.7070; -5.1508; -1.9772 eV per atom.